Entry 1:
A plane-wave DFT calculation with meta-GGA SCAN was carried out for MgMnC2 at its PBEsol-relaxed geometry.

Calculated values
Its calculated volume is 12.10 A^3/atom. The calculation puts the formation energy at 0.55 eV/atom. The raw total energy is -82.47 eV per cell.

Cell: 5.539 5.539 5.539 Å, 130.21 130.21 73.07°
Element x y z (fractional)
Mg  0.000  0.000  0.000
Mg  0.750  0.250  0.500
Mn  0.250  0.750  0.500
Mn  0.500  0.500  0.000
C  0.209  0.625  0.084
C  0.375  0.459  0.584
C  0.541  0.125  0.916
C  0.875  0.791  0.416

***

Entry 2:
A plane-wave DFT calculation with meta-GGA SCAN was carried out for MgMoC2 at its PBEsol-relaxed geometry.

Calculated values
Its calculated volume is 13.83 A^3/atom. The calculation puts the formation energy at 0.39 eV/atom. The raw total energy is -116.98 eV per cell.

Cell: 5.749 5.749 5.749 Å, 129.39 129.39 74.39°
Element x y z (fractional)
Mg  0.000  0.000  0.000
Mg  0.750  0.250  0.500
Mo  0.250  0.750  0.500
Mo  0.500  0.500  0.000
C  0.174  0.625  0.049
C  0.375  0.424  0.549
C  0.576  0.125  0.951
C  0.875  0.826  0.451

***

Entry 3:
A plane-wave DFT calculation with meta-GGA SCAN was carried out for MgPdCN2 at its PBEsol-relaxed geometry.

Calculated values
Its calculated volume is 10.26 A^3/atom. The raw total energy is -56.36 eV per cell.

Cell: 3.525 3.525 4.129 Å, 90.00 90.00 90.00°
Element x y z (fractional)
Mg  0.000  0.000  0.000
Pd  0.500  0.500  0.000
C  0.000  0.000  0.500
N  0.000  0.500  0.500
N  0.500  0.000  0.500

***

Entry 4:
A plane-wave DFT calculation with meta-GGA SCAN was carried out for MgCSeN2 at its PBEsol-relaxed geometry.

Calculated values
Its calculated volume is 15.90 A^3/atom. The raw total energy is -41.82 eV per cell.

Cell: 3.798 3.798 5.513 Å, 90.00 90.00 90.00°
Element x y z (fractional)
Mg  0.000  0.000  0.000
C  0.500  0.500  0.500
Se  0.000  0.000  0.500
N  0.000  0.500  0.000
N  0.500  0.000  0.000

***

Entry 5:
A plane-wave DFT calculation with meta-GGA SCAN was carried out for MgCSeN2 at its PBEsol-relaxed geometry.

Calculated values
Its calculated volume is 11.23 A^3/atom. The raw total energy is -44.77 eV per cell.

Cell: 3.538 3.538 4.485 Å, 90.00 90.00 90.00°
Element x y z (fractional)
Mg  0.000  0.000  0.000
C  0.500  0.500  0.500
Se  0.500  0.500  0.000
N  0.000  0.500  0.500
N  0.500  0.000  0.500

***

Entry 6:
A plane-wave DFT calculation with meta-GGA SCAN was carried out for MgNbC3 at its PBEsol-relaxed geometry.

Calculated values
Its calculated volume is 14.34 A^3/atom. The calculation puts the formation energy at 1.62 eV/atom. The raw total energy is -60.31 eV per cell.

Cell: 4.154 4.154 4.154 Å, 90.00 90.00 90.00°
Element x y z (fractional)
Mg  0.000  0.000  0.000
Nb  0.500  0.500  0.500
C  0.000  0.500  0.500
C  0.500  0.000  0.500
C  0.500  0.500  0.000